This record from Alexandria describes an optimized crystal structure of EuPaP2. The functional is PBE-GGA.

Calculated values
The calculation puts the formation energy at -1.313 eV/atom. Its space-group type is R-3m (166). Its density of states at the Fermi level is 9.7 states/eV/cell. The energy is -8.96 eV/atom.

Unit cell a=4.0720 b=4.0720 c=7.0881 alpha=73.31 beta=73.31 gamma=60.00
Site moments in Bohr magnetons follow the coordinates.
Positions (direct):
Eu 0.5000 0.5000 0.5000  6.72
P 0.2574 0.2574 0.2279  -0.04
P 0.7426 0.7426 0.7721  -0.04
Pa 0.0000 0.0000 0.0000  0.22



This record from Alexandria describes an optimized crystal structure of Eu3PPb. The functional is PBE-GGA.

Calculated values
The calculation puts the formation energy at -0.704 eV/atom. Its space-group type is Pm-3m (221). Its density of states at the Fermi level is 33.1 states/eV/cell. The energy is -8.69 eV/atom.

Unit cell a=5.6007 b=5.6007 c=5.6007 alpha=90.00 beta=90.00 gamma=90.00
Site moments in Bohr magnetons follow the coordinates.
Positions (direct):
Pb 0.5000 0.5000 0.5000  -0.08
Eu 0.0000 0.5000 0.0000  6.77
Eu 0.0000 0.0000 0.5000  6.77
Eu 0.5000 0.0000 0.0000  6.77
P 0.0000 0.0000 0.0000  -0.11



This record from Alexandria describes an optimized crystal structure of EuPPd3. The functional is PBE-GGA.

Calculated values
The calculation puts the formation energy at -0.672 eV/atom. Its space-group type is Pm-3m (221). Its density of states at the Fermi level is 18.3 states/eV/cell. The energy is -6.92 eV/atom.

Unit cell a=4.6341 b=4.6341 c=4.6341 alpha=90.00 beta=90.00 gamma=90.00
Site moments in Bohr magnetons follow the coordinates.
Positions (direct):
Eu 0.5000 0.5000 0.5000  6.75
P 0.0000 0.0000 0.0000  -0.01
Pd 0.0000 0.5000 0.0000  -0.02
Pd 0.0000 0.0000 0.5000  -0.02
Pd 0.5000 0.0000 0.0000  -0.02



This record from Alexandria describes an optimized crystal structure of EuPPd. The functional is PBE-GGA.

Calculated values
The calculation puts the formation energy at -1.077 eV/atom. Its space-group type is P6_3/mmc (194). Its density of states at the Fermi level is 8.5 states/eV/cell. The energy is -8.04 eV/atom.

Unit cell a=4.1639 b=4.1639 c=8.3565 alpha=90.00 beta=90.00 gamma=120.00
Site moments in Bohr magnetons follow the coordinates.
Positions (direct):
Eu 0.0000 0.0000 0.9970  6.68
Eu 0.0000 0.0000 0.4970  6.67
P 0.3333 0.6667 0.2470  -0.07
P 0.6667 0.3333 0.7470  -0.07
Pd 0.3333 0.6667 0.7470  -0.08
Pd 0.6667 0.3333 0.2470  -0.08



This record from Alexandria describes an optimized crystal structure of PmEuP. The functional is PBE-GGA.

Calculated values
The calculation puts the formation energy at -0.751 eV/atom. Its space-group type is I4mm (107). Its density of states at the Fermi level is 2.6 states/eV/cell. The energy is -7.56 eV/atom.

Unit cell a=3.6667 b=3.6667 c=7.0764 alpha=105.02 beta=105.02 gamma=90.00
Site moments in Bohr magnetons follow the coordinates.
Positions (direct):
Eu 0.0384 0.0384 0.0768  6.89
P 0.6785 0.6785 0.3571  -0.03
Pm 0.2831 0.2831 0.5662  0.04



This record from Alexandria describes an optimized crystal structure of PmEuP. The functional is PBE-GGA.

Calculated values
The calculation puts the formation energy at -0.830 eV/atom. Its space-group type is F-43m (216). Its density of states at the Fermi level is 2.1 states/eV/cell. The energy is -7.64 eV/atom.

Unit cell a=4.8952 b=4.8952 c=4.8952 alpha=60.00 beta=60.00 gamma=60.00
Site moments in Bohr magnetons follow the coordinates.
Positions (direct):
Eu 0.5000 0.5000 0.5000  6.92
P 0.2500 0.2500 0.2500  -0.06
Pm 0.0000 0.0000 0.0000  0.27



This record from Alexandria describes an optimized crystal structure of PmEuP2. The functional is PBE-GGA.

Calculated values
The calculation puts the formation energy at -0.969 eV/atom. Its space-group type is P4/mmm (123). Its density of states at the Fermi level is 2.7 states/eV/cell. The energy is -7.43 eV/atom.

Unit cell a=3.5489 b=5.0690 c=5.0690 alpha=90.00 beta=90.00 gamma=90.00
Site moments in Bohr magnetons follow the coordinates.
Positions (direct):
Eu 0.5000 0.5000 0.5000  6.66
P 0.0000 0.0000 0.5000  -0.09
P 0.0000 0.5000 0.0000  -0.09
Pm 0.5000 0.0000 0.0000  0.02



This record from Alexandria describes an optimized crystal structure of PmEuP2. The functional is PBE-GGA.

Calculated values
The calculation puts the formation energy at -1.300 eV/atom. Its space-group type is R-3m (166). Its density of states at the Fermi level is 9.7 states/eV/cell. The energy is -7.76 eV/atom.

Unit cell a=4.1509 b=4.1509 c=7.2019 alpha=73.25 beta=73.25 gamma=60.00
Site moments in Bohr magnetons follow the coordinates.
Positions (direct):
Eu 0.5000 0.5000 0.5000  6.57
P 0.2512 0.2512 0.2465  -0.08
P 0.7488 0.7488 0.7535  -0.08
Pm 0.0000 0.0000 0.0000  -0.03



What is the energy in the second record? -8.69 eV/atom



What is the energy in the first record? -8.96 eV/atom



Among the records above, which one has the highest energy? EuPPd3



Among the records above, which one has the highest energy? EuPPd3